# LaTb12Er5

A relaxed structure of LaTb12Er5 (GGA-PBE, Alexandria via LeMat-Bulk).

Unit cell a=11.9128 b=16.8906 c=5.7069 alpha=90.00 beta=90.00 gamma=90.00
Space group C2/m (No. 12)
Inequivalent atoms, fractional coordinates:
La  0.0000  0.0000  0.0000 (multiplicity 2)
Tb  0.1513  0.1800  0.9987 (multiplicity 8)
Tb  0.1518  0.3209  0.5014 (multiplicity 8)
Tb  0.1950  0.5000  0.9856 (multiplicity 4)
Tb  0.2025  0.0000  0.5149 (multiplicity 4)
Er  0.0000  0.1404  0.5000 (multiplicity 4)
Er  0.0000  0.3614  0.0000 (multiplicity 4)
Er  0.0000  0.5000  0.5000 (multiplicity 2)

Computed properties:
Energy of formation from the pure elements (eV/f.u.): 1.75
Total moment (μB/f.u.): 0.00
V (Å³/atom): 31.90